Below is a relaxed structure of TlSiPb2, with properties calculated at the PBEsol level.

a b c (Å): 3.5265 3.7462 7.9188
angles (deg): 90.00 89.99 90.00
Closest atoms and distances in Å follow each position.
Fractional positions:
Tl (0.5000, 0.5000, 0.5000)  8 Pb 3.47, 4 Tl 3.53-3.75
Pb (0.0000, 0.0000, 0.7933)  4 Si 3.05, 1 Pb 3.27
Si (0.5000, 0.5000, 0.0000)  8 Pb 3.05
Pb (0.0000, 0.0000, 0.2067)  4 Si 3.05, 1 Pb 3.27

Output
Total magnetization = 0.00 μB per atom
Density = 10.27 g/cm³
SG = Pmmm
Uncorrected energy = -3.87 eV per atom
Fermi-level density of states = 1.72 states/eV per cell
ΔE_f (raw) = 5.101 kcal/mol of atoms

Below is a relaxed structure of BeCr2MoRu, with properties calculated at the PBEsol level.

a b c (Å): 3.9374 3.9374 3.9712
angles (deg): 90.00 90.00 90.00
Closest atoms and distances in Å follow each position.
Fractional positions:
Be (0.0000, 0.0000, 0.0000)  4 Cr 1.97, 2 Ru 1.99
Cr (0.5000, 0.0000, 0.0000)  2 Be 1.97
Mo (0.5000, 0.5000, 0.5000)  4 Ru 2.78, 8 Cr 2.80
Cr (0.0000, 0.5000, 0.0000)  2 Be 1.97
Ru (0.0000, 0.0000, 0.5000)  2 Be 1.99

Output
Total magnetization = 0.00 μB per atom
Density = 8.36 g/cm³
SG = P4/mmm
Uncorrected energy = -8.58 eV per atom
Fermi-level density of states = 6.66 states/eV per cell
Calculated formation energy = 3.54 eV per formula unit

Below is a relaxed structure of K2GaHg2, with properties calculated at the PBEsol level.

a b c (Å): 4.1214 4.1214 10.3556
angles (deg): 101.48 101.48 90.00
Closest atoms and distances in Å follow each position.
Fractional positions:
K (0.3969, 0.3969, 0.7938)  4 Ga 3.56, 4 Hg 3.57
K (0.6031, 0.6031, 0.2062)  4 Ga 3.56, 4 Hg 3.57
Hg (0.7500, 0.2500, 0.5000)  4 Hg 2.91
Ga (0.0000, 0.0000, 0.0000)  8 K 3.56
Hg (0.2500, 0.7500, 0.5000)  4 Hg 2.91

Output
Total magnetization = 0.00 μB per atom
Density = 5.40 g/cm³
SG = I4/mmm
Uncorrected energy = -1.30 eV per atom
Fermi-level density of states = 2.97 states/eV per cell
Calculated formation energy = 0.24 eV per formula unit